[1]
# Zr3BeTl

A geometry-optimized Zr3BeTl structure (PBE-GGA, Alexandria).

Values from the calculation:
excess energy over the best structure of this formula in the dataset	0.000	eV per atom
DFT formation energy	0.10	eV/atom
space group	Pm-3m
V	21.664	A^3/atom

a b c (Å): 4.7669 4.7669 4.7669
angles (deg): 90.00 90.00 90.00
With the nearest neighbours (Å) after each atom.
Atoms (fractional coordinates):
Zr (0.0000, 0.0000, 0.5000)  2 Be 2.38
Zr (0.0000, 0.5000, 0.0000)  2 Be 2.38
Zr (0.5000, 0.0000, 0.0000)  2 Be 2.38
Be (0.0000, 0.0000, 0.0000)  6 Zr 2.38
Tl (0.5000, 0.5000, 0.5000)  12 Zr 3.37


[2]
# ZrBe2Tl

A geometry-optimized ZrBe2Tl structure (PBE-GGA, Alexandria).

Values from the calculation:
excess energy over the best structure of this formula in the dataset	0.208	eV per atom
DFT formation energy	0.23	eV/atom
space group	P4mm
V	16.287	A^3/atom

a b c (Å): 3.0420 3.0420 7.0403
angles (deg): 90.00 90.00 90.00
With the nearest neighbours (Å) after each atom.
Atoms (fractional coordinates):
Zr (0.0000, 0.0000, 0.0000)  5 Be 2.68-2.79
Be (0.0000, 0.0000, 0.3811)  4 Be 2.33
Be (0.5000, 0.5000, 0.2533)  4 Be 2.33
Tl (0.5000, 0.5000, 0.6553)  5 Be 2.83-2.89, 4 Tl 3.04